The following is a PBE+U calculation of an optimized crystal structure of Li2V3WO8, from Alexandria via LeMat-Bulk.

a = 5.9698 Å, b = 5.9698 Å, c = 9.8259 Å
α = 90.00°, β = 90.00°, γ = 120.00°
With the nearest neighbours (Å) after each atom.
Atoms (fractional coordinates):
Li 0.0000 0.0000 0.0000  4 O 1.81-2.00
Li 0.0000 0.0000 0.5000  4 O 1.81-2.00
Li 0.3333 0.6667 0.4031  4 O 2.00-2.03
Li 0.6667 0.3333 0.9031  4 O 2.00-2.03
V 0.1688 0.3376 0.7168  6 O 2.00-2.05
V 0.1688 0.8312 0.7168  6 O 2.00-2.05
V 0.3376 0.1688 0.2168  6 O 2.00-2.05
V 0.6624 0.8312 0.7168  6 O 2.00-2.05
V 0.8312 0.1688 0.2168  6 O 2.00-2.05
V 0.8312 0.6624 0.2168  6 O 2.00-2.05
W 0.3333 0.6667 0.9895  6 O 2.09-2.10
W 0.6667 0.3333 0.4895  6 O 2.09-2.10
O 0.0000 0.0000 0.3158  1 Li 1.81, 3 V 2.00
O 0.0000 0.0000 0.8158  1 Li 1.81, 3 V 2.00
O 0.0364 0.5182 0.8440  1 Li 2.00, 2 V 2.05, 1 W 2.10
O 0.1649 0.3297 0.1062  1 Li 2.00, 2 V 2.04, 1 W 2.09
O 0.1649 0.8351 0.1062  1 Li 2.00, 2 V 2.04, 1 W 2.09
O 0.3297 0.1649 0.6062  1 Li 2.00, 2 V 2.04, 1 W 2.09
O 0.3333 0.6667 0.6099  3 V 2.00, 1 Li 2.03
O 0.4818 0.5182 0.8440  1 Li 2.00, 2 V 2.05, 1 W 2.10
O 0.4818 0.9636 0.8440  1 Li 2.00, 2 V 2.05, 1 W 2.10
O 0.5182 0.0364 0.3440  1 Li 2.00, 2 V 2.05, 1 W 2.10
O 0.5182 0.4818 0.3440  1 Li 2.00, 2 V 2.05, 1 W 2.10
O 0.6667 0.3333 0.1099  3 V 2.00, 1 Li 2.03
O 0.6703 0.8351 0.1062  1 Li 2.00, 2 V 2.04, 1 W 2.09
O 0.8351 0.1649 0.6062  1 Li 2.00, 2 V 2.04, 1 W 2.09
O 0.8351 0.6703 0.6062  1 Li 2.00, 2 V 2.04, 1 W 2.09
O 0.9636 0.4818 0.3440  1 Li 2.00, 2 V 2.05, 1 W 2.10

Output
**Offset from the most stable computed form**: 34 meV per atom
**Total energy**: -7.278 eV per atom

---

The following is a PBE+U calculation of an optimized crystal structure of Li2VWO6, from Alexandria via LeMat-Bulk.

a = 5.1086 Å, b = 5.1143 Å, c = 5.4006 Å
α = 61.92°, β = 62.09°, γ = 60.43°
With the nearest neighbours (Å) after each atom.
Atoms (fractional coordinates):
Li 0.0000 0.0000 0.0000  4 O 2.00-2.22
Li 0.4847 0.5042 0.4996  4 O 2.01-2.24
V 0.7788 0.7932 0.6513  3 O 1.78-1.96
W 0.2683 0.2935 0.1459  5 O 1.87-1.97
O 0.0564 0.4119 0.8646  1 V 1.96, 1 W 1.97, 1 Li 2.00
O 0.1591 0.9194 0.3569  1 W 1.92, 1 Li 2.01, 1 V 2.02
O 0.4224 0.6442 0.8675  1 V 1.95, 1 W 1.96, 1 Li 2.09
O 0.5434 0.1525 0.3637  1 W 1.90, 1 V 2.03, 1 Li 2.09
O 0.6622 0.0345 0.8647  1 V 1.78
O 0.9163 0.5464 0.3672  1 W 1.87, 1 Li 2.07

Output
**Total energy**: -6.897 eV per atom

---

The following is a PBE+U calculation of an optimized crystal structure of Li2V3WO8, from Alexandria via LeMat-Bulk.

a = 6.0314 Å, b = 6.0314 Å, c = 6.2197 Å
α = 120.31°, β = 120.31°, γ = 60.61°
With the nearest neighbours (Å) after each atom.
Atoms (fractional coordinates):
Li 0.1273 0.1273 0.3899  4 O 2.03-2.07
Li 0.8727 0.8727 0.6101  4 O 2.03-2.07
V 0.0000 0.5000 0.0000  6 O 2.03-2.12
V 0.5000 0.0000 0.0000  6 O 2.03-2.12
V 0.5000 0.5000 0.0000  6 O 2.03-2.09
W 0.5000 0.5000 0.5000  6 O 1.97-2.05
O 0.2610 0.2610 0.7964  3 V 2.03, 1 Li 2.05
O 0.2675 0.2675 0.2539  1 W 1.97, 1 Li 2.07, 2 V 2.12
O 0.2687 0.7164 0.2465  1 Li 2.03, 1 W 2.05, 2 V 2.06-2.09
O 0.2836 0.7313 0.7535  1 Li 2.03, 1 W 2.05, 2 V 2.06-2.09
O 0.7164 0.2687 0.2465  1 Li 2.03, 1 W 2.05, 2 V 2.06-2.09
O 0.7313 0.2836 0.7535  1 Li 2.03, 1 W 2.05, 2 V 2.06-2.09
O 0.7325 0.7325 0.7461  1 W 1.97, 1 Li 2.07, 2 V 2.12
O 0.7390 0.7390 0.2036  3 V 2.03, 1 Li 2.05

Output
**Offset from the most stable computed form**: 0 meV per atom
**Total energy**: -7.312 eV per atom

---

The following is a PBE+U calculation of an optimized crystal structure of Li2V3WO8, from Alexandria via LeMat-Bulk.

a = 8.5916 Å, b = 8.5916 Å, c = 8.5916 Å
α = 90.00°, β = 90.00°, γ = 90.00°
With the nearest neighbours (Å) after each atom.
Atoms (fractional coordinates):
Li 0.9995 0.9995 0.9995  4 O 2.03
Li 0.0005 0.4995 0.5005  4 O 2.03
Li 0.2505 0.2505 0.2505  4 O 2.03
Li 0.2495 0.7495 0.7505  4 O 2.03
Li 0.5005 0.0005 0.4995  4 O 2.03
Li 0.4995 0.5005 0.0005  4 O 2.03
Li 0.7505 0.2495 0.7495  4 O 2.03
Li 0.7495 0.7505 0.2495  4 O 2.03
V 0.1212 0.1288 0.6250  6 O 2.02-2.11
V 0.1250 0.3788 0.8712  6 O 2.02-2.11
V 0.1288 0.6250 0.1212  6 O 2.02-2.11
V 0.3712 0.3750 0.6212  6 O 2.02-2.11
V 0.3750 0.6212 0.3712  6 O 2.02-2.11
V 0.3788 0.8712 0.1250  6 O 2.02-2.11
V 0.6212 0.3712 0.3750  6 O 2.02-2.11
V 0.6250 0.1212 0.1288  6 O 2.02-2.11
V 0.6288 0.8750 0.8788  6 O 2.02-2.11
V 0.8712 0.1250 0.3788  6 O 2.02-2.11
V 0.8750 0.8788 0.6288  6 O 2.02-2.11
V 0.8788 0.6288 0.8750  6 O 2.02-2.11
W 0.1250 0.8750 0.3750  6 O 2.02
W 0.3750 0.1250 0.8750  6 O 2.02
W 0.6250 0.6250 0.6250  6 O 2.02
W 0.8750 0.3750 0.1250  6 O 2.02
O 0.1101 0.3800 0.1124  1 W 2.02, 1 Li 2.03, 2 V 2.08-2.11
O 0.1124 0.1101 0.3800  1 W 2.02, 1 Li 2.03, 2 V 2.08-2.11
O 0.1129 0.6129 0.8871  3 V 2.02, 1 Li 2.03
O 0.1200 0.8876 0.6101  1 W 2.02, 1 Li 2.03, 2 V 2.08-2.11
O 0.1300 0.6399 0.3624  1 W 2.02, 1 Li 2.03, 2 V 2.08-2.11
O 0.1371 0.3629 0.6371  3 V 2.02, 1 Li 2.03
O 0.1376 0.8700 0.1399  1 W 2.02, 1 Li 2.03, 2 V 2.08-2.11
O 0.1399 0.1376 0.8700  1 W 2.02, 1 Li 2.03, 2 V 2.08-2.11
O 0.3601 0.8624 0.3700  1 W 2.02, 1 Li 2.03, 2 V 2.08-2.11
O 0.3624 0.1300 0.6399  1 W 2.02, 1 Li 2.03, 2 V 2.08-2.11
O 0.3629 0.6371 0.1371  3 V 2.02, 1 Li 2.03
O 0.3700 0.3601 0.8624  1 W 2.02, 1 Li 2.03, 2 V 2.08-2.11
O 0.3800 0.1124 0.1101  1 W 2.02, 1 Li 2.03, 2 V 2.08-2.11
O 0.3871 0.3871 0.3871  3 V 2.02, 1 Li 2.03
O 0.3876 0.8899 0.8800  1 W 2.02, 1 Li 2.03, 2 V 2.08-2.11
O 0.3899 0.6200 0.6124  1 W 2.02, 1 Li 2.03, 2 V 2.08-2.11
O 0.6101 0.1200 0.8876  1 W 2.02, 1 Li 2.03, 2 V 2.08-2.11
O 0.6124 0.3899 0.6200  1 W 2.02, 1 Li 2.03, 2 V 2.08-2.11
O 0.6129 0.8871 0.1129  3 V 2.02, 1 Li 2.03
O 0.6200 0.6124 0.3899  1 W 2.02, 1 Li 2.03, 2 V 2.08-2.11
O 0.6300 0.8601 0.6376  1 W 2.02, 1 Li 2.03, 2 V 2.08-2.11
O 0.6371 0.1371 0.3629  3 V 2.02, 1 Li 2.03
O 0.6376 0.6300 0.8601  1 W 2.02, 1 Li 2.03, 2 V 2.08-2.11
O 0.6399 0.3624 0.1300  1 W 2.02, 1 Li 2.03, 2 V 2.08-2.11
O 0.8601 0.6376 0.6300  1 W 2.02, 1 Li 2.03, 2 V 2.08-2.11
O 0.8624 0.3700 0.3601  1 W 2.02, 1 Li 2.03, 2 V 2.08-2.11
O 0.8629 0.8629 0.8629  3 V 2.02, 1 Li 2.03
O 0.8700 0.1399 0.1376  1 W 2.02, 1 Li 2.03, 2 V 2.08-2.11
O 0.8800 0.3876 0.8899  1 W 2.02, 1 Li 2.03, 2 V 2.08-2.11
O 0.8871 0.1129 0.6129  3 V 2.02, 1 Li 2.03
O 0.8876 0.6101 0.1200  1 W 2.02, 1 Li 2.03, 2 V 2.08-2.11
O 0.8899 0.8800 0.3876  1 W 2.02, 1 Li 2.03, 2 V 2.08-2.11

Output
**Offset from the most stable computed form**: 9 meV per atom
**Total energy**: -7.303 eV per atom

---

The following is a PBE+U calculation of an optimized crystal structure of LiV2WO8, from Alexandria via LeMat-Bulk.

a = 5.8247 Å, b = 5.8247 Å, c = 5.5748 Å
α = 90.00°, β = 90.00°, γ = 120.00°
With the nearest neighbours (Å) after each atom.
Atoms (fractional coordinates):
Li 0.0000 0.0000 0.0000  6 O 2.23
V 0.3333 0.6667 0.6457  1 O 1.62
V 0.6667 0.3333 0.3543  1 O 1.62
W 0.0000 0.0000 0.5000  6 O 2.01
O 0.1581 0.3163 0.7197  1 V 1.82, 1 W 2.01
O 0.1581 0.8419 0.7197  1 V 1.82, 1 W 2.01
O 0.3163 0.1581 0.2803  1 V 1.82, 1 W 2.01
O 0.3333 0.6667 0.3560  1 V 1.62
O 0.6667 0.3333 0.6440  1 V 1.62
O 0.6837 0.8419 0.7197  1 V 1.82, 1 W 2.01
O 0.8419 0.1581 0.2803  1 V 1.82, 1 W 2.01
O 0.8419 0.6837 0.2803  1 V 1.82, 1 W 2.01

Output
**Total energy**: -7.159 eV per atom

---

The following is a PBE+U calculation of an optimized crystal structure of LiVZnO4, from Alexandria via LeMat-Bulk.

a = 8.9212 Å, b = 8.9212 Å, c = 8.9212 Å
α = 107.88°, β = 107.88°, γ = 107.88°
With the nearest neighbours (Å) after each atom.
Atoms (fractional coordinates):
Li 0.0201 0.1912 0.7887  4 O 1.98-2.02
Li 0.1912 0.7887 0.0201  4 O 1.98-2.02
Li 0.3065 0.7077 0.4827  4 O 1.98-2.01
Li 0.4827 0.3065 0.7077  4 O 1.98-2.01
Li 0.7077 0.4827 0.3065  4 O 1.98-2.01
Li 0.7887 0.0201 0.1912  4 O 1.98-2.02
V 0.0429 0.8174 0.6370  4 O 1.74-1.75
V 0.1225 0.3471 0.5287  4 O 1.75
V 0.3471 0.5287 0.1225  4 O 1.75
V 0.5287 0.1225 0.3471  4 O 1.75
V 0.6370 0.0429 0.8174  4 O 1.74-1.75
V 0.8174 0.6370 0.0429  4 O 1.74-1.75
Zn 0.1478 0.9708 0.3790  4 O 1.97-1.98
Zn 0.3790 0.1478 0.9708  4 O 1.97-1.98
Zn 0.4548 0.6842 0.8620  4 O 1.96-1.99
Zn 0.6842 0.8620 0.4548  4 O 1.96-1.99
Zn 0.8620 0.4548 0.6842  4 O 1.96-1.99
Zn 0.9708 0.3790 0.1478  4 O 1.97-1.98
O 0.0084 0.3331 0.6559  1 V 1.75
O 0.1580 0.8299 0.5106  1 V 1.75
O 0.1917 0.9040 0.8581  1 V 1.75
O 0.2164 0.5440 0.2319  1 V 1.75
O 0.2319 0.2164 0.5440  1 V 1.75
O 0.2695 0.3100 0.9754  1 V 1.75
O 0.2788 0.5643 0.6142  1 V 1.75
O 0.3100 0.9754 0.2695  1 V 1.75
O 0.3331 0.6559 0.0084  1 V 1.75
O 0.5106 0.1580 0.8299  1 V 1.75
O 0.5440 0.2319 0.2164  1 V 1.75
O 0.5566 0.8912 0.6007  1 V 1.74
O 0.5643 0.6142 0.2788  1 V 1.75
O 0.6007 0.5566 0.8912  1 V 1.74
O 0.6142 0.2788 0.5643  1 V 1.75
O 0.6167 0.9292 0.9442  1 V 1.75, 1 Zn 1.96
O 0.6559 0.0083 0.3331  1 V 1.75
O 0.8299 0.5106 0.1580  1 V 1.75
O 0.8581 0.1917 0.9040  1 V 1.75
O 0.8912 0.6007 0.5566  1 V 1.74
O 0.9040 0.8581 0.1917  1 V 1.75
O 0.9292 0.9442 0.6167  1 V 1.75, 1 Zn 1.96
O 0.9442 0.6167 0.9292  1 V 1.75, 1 Zn 1.96
O 0.9754 0.2695 0.3100  1 V 1.75

Output
**Offset from the most stable computed form**: 0 meV per atom
**Total energy**: -6.239 eV per atom

---

The following is a PBE+U calculation of an optimized crystal structure of LiVZnO4, from Alexandria via LeMat-Bulk.

a = 5.9302 Å, b = 5.9302 Å, c = 5.9302 Å
α = 120.46°, β = 118.86°, γ = 90.59°
With the nearest neighbours (Å) after each atom.
Atoms (fractional coordinates):
Li 0.5000 0.0000 0.0000  6 O 2.09-2.18
Li 0.5000 0.5000 0.5000  6 O 2.09-2.18
V 0.1268 0.3768 0.7500  4 O 1.73-1.79
V 0.8732 0.6232 0.2500  4 O 1.73-1.79
Zn 0.0000 0.0000 0.0000  6 O 2.11-2.14
Zn 0.5000 0.0000 0.5000  6 O 2.11-2.14
O 0.2274 0.7434 0.4840  1 V 1.73
O 0.2407 0.2566 0.9840  1 V 1.73
O 0.2495 0.2502 0.5006  1 V 1.79
O 0.2495 0.7489 0.9994  1 V 1.79
O 0.7505 0.2511 0.0006  1 V 1.79
O 0.7505 0.7498 0.4994  1 V 1.79
O 0.7593 0.7434 0.0160  1 V 1.73
O 0.7726 0.2566 0.5160  1 V 1.73

Output
**Offset from the most stable computed form**: 54 meV per atom
**Total energy**: -6.185 eV per atom

---

The following is a PBE+U calculation of an optimized crystal structure of Li2VZnO4, from Alexandria via LeMat-Bulk.

a = 5.4572 Å, b = 5.4572 Å, c = 5.4572 Å
α = 130.46°, β = 130.46°, γ = 72.67°
With the nearest neighbours (Å) after each atom.
Atoms (fractional coordinates):
Li 0.2500 0.7500 0.5000  4 O 2.00
Li 0.7500 0.2500 0.5000  4 O 2.00
V 0.0000 0.0000 0.0000  4 O 1.83
Zn 0.5000 0.5000 0.0000  4 O 2.00
O 0.1186 0.6486 0.0000  1 V 1.83, 1 Zn 2.00, 2 Li 2.00
O 0.3514 0.3514 0.4699  1 V 1.83, 1 Zn 2.00, 2 Li 2.00
O 0.6486 0.1186 0.0000  1 V 1.83, 1 Zn 2.00, 2 Li 2.00
O 0.8814 0.8814 0.5301  1 V 1.83, 1 Zn 2.00, 2 Li 2.00

Output
**Total energy**: -5.945 eV per atom